## Ti2ReO (PBE)

Data for a geometry-optimized Ti2ReO structure.

Cell lengths 2.7897, 2.7897, 8.0349 Å; angles 80.00, 80.00, 60.00 degrees
Closest atoms and distances in Å follow each position.
Sites, in units of the cell vectors:
Ti (0.8930, 0.8930, 0.3210)  3 O 2.14
Ti (0.1070, 0.1070, 0.6790)  3 O 2.14
Re (0.0000, 0.0000, 0.0000)  2 Ti 2.53, 6 Re 2.79
O (0.5000, 0.5000, 0.5000)  6 Ti 2.14

Results
* energy relative to the elements, uncorrected: -3.7 eV per formula unit
* space-group type: R-3m, No. 166
* total DFT energy (no corrections): -36.9 eV/cell